Entry 1:
Below is a relaxed structure of NaBe, with properties calculated at the PBE-GGA level.

Summary:
- Space group: P2/m, No. 10
- E_form: 834 meV per atom
- Total DFT energy (no corrections): -1.69 eV/atom
- Fermi-level density of states: 0.284 states/eV/atom
- Crystal system: monoclinic
- Excess energy over the best structure of this formula in the dataset: 368 meV/atom

The structure in POSCAR format:
```
NaBe
1.0
-0.673 1.935 1.409
-3.571 -2.741 2.059
2.016 -1.599 1.369
Na Be
1 1
Cartesian
-2.122 -0.403 1.734
1.008 -0.799 0.684
```

---

Entry 2:
Below is a relaxed structure of NaBe, with properties calculated at the PBE-GGA level.

Summary:
- Space group: P-1, No. 2
- E_form: 567 meV per atom
- Total DFT energy (no corrections): -1.96 eV/atom
- Fermi-level density of states: 0.290 states/eV/atom
- Crystal system: triclinic
- Excess energy over the best structure of this formula in the dataset: 101 meV/atom

The structure in POSCAR format:
```
NaBe
1.0
2.480 -0.014 -0.005
-0.067 5.398 -0.001
-1.229 -1.543 5.276
Na Be
2 2
Cartesian
-0.067 4.101 0.990
1.252 -0.261 4.279
1.207 1.437 1.912
-0.023 2.403 3.358
```

---

Entry 3:
Below is a relaxed structure of NaBe, with properties calculated at the PBE-GGA level.

Summary:
- Space group: Pm-3n, No. 223
- E_form: 1563 meV per atom
- Total DFT energy (no corrections): -0.96 eV/atom
- Fermi-level density of states: 1.020 states/eV/atom
- Crystal system: cubic
- Excess energy over the best structure of this formula in the dataset: 1097 meV/atom

The structure in POSCAR format:
```
NaBe
1.0
-1.338 7.372 3.023
-2.218 -3.289 7.039
7.653 0.336 2.568
Na Be
6 6
Cartesian
-1.443 0.199 4.275
-2.112 3.885 5.787
1.244 3.770 2.154
5.071 3.938 3.438
3.272 -0.654 3.044
2.163 -2.299 6.563
3.492 2.011 2.040
2.823 5.697 3.552
0.804 -1.561 4.161
4.631 -1.393 5.446
-1.223 2.864 3.271
-2.332 1.219 6.791
```

---

Entry 4:
Below is a relaxed structure of NaBe, with properties calculated at the PBE-GGA level.

Summary:
- Space group: P6_3/mmc, No. 194
- E_form: 1374 meV per atom
- Total DFT energy (no corrections): -1.15 eV/atom
- Fermi-level density of states: 0.579 states/eV/atom
- Crystal system: hexagonal
- Excess energy over the best structure of this formula in the dataset: 909 meV/atom

The structure in POSCAR format:
```
NaBe
1.0
4.966 0.000 0.000
-2.483 4.300 0.000
0.000 0.000 5.715
Na Be
2 2
Cartesian
0.000 2.867 4.286
2.483 1.433 1.429
0.000 2.867 1.429
2.483 1.433 4.286
```

---

Entry 5:
Below is a relaxed structure of NaBe, with properties calculated at the PBE-GGA level.

Summary:
- Space group: P1, No. 1
- E_form: 669 meV per atom
- Total DFT energy (no corrections): -1.85 eV/atom
- Fermi-level density of states: 0.359 states/eV/atom
- Crystal system: triclinic
- Excess energy over the best structure of this formula in the dataset: 203 meV/atom

The structure in POSCAR format:
```
NaBe
1.0
2.509 0.078 -0.004
1.323 5.310 0.006
1.241 1.121 6.946
Na Be
2 2
Cartesian
2.498 4.009 3.401
2.476 1.882 6.855
1.265 3.459 0.773
3.753 4.493 6.042
```

---

Entry 6:
Below is a relaxed structure of NaBe, with properties calculated at the PBE-GGA level.

Summary:
- Space group: F-43m, No. 216
- E_form: 1532 meV per atom
- Total DFT energy (no corrections): -0.99 eV/atom
- Fermi-level density of states: 0.938 states/eV/atom
- Crystal system: cubic
- Excess energy over the best structure of this formula in the dataset: 1067 meV/atom

The structure in POSCAR format:
```
NaBe
1.0
-1.016 0.931 6.341
1.155 -6.288 1.108
6.303 1.302 0.819
Na Be
4 4
Cartesian
0.000 0.000 0.000
3.729 -2.493 0.964
2.644 1.116 3.580
0.069 -2.679 3.724
1.611 -1.014 2.067
5.340 -3.507 3.031
4.254 0.103 5.647
1.680 -3.693 5.791
```